[1]
AcThGaHg | GGA-PBE | optimized geometry

The calculated density is 10.39 g cm⁻³. As for the formation enthalpy at 0 K: -298 meV/atom. The calculation puts the spin magnetization at 0.0 μB/f.u. The density of states at the Fermi level comes out at 5.244 states/eV per cell. The space-group type is F-43m (216). The calculation puts the calculated total energy at -16.0 eV per formula unit.

Cell: 5.483 5.483 5.483 Å, 60.00 60.00 60.00°
Fractional coordinates of all 4 atoms:
Ac 0.250 0.250 0.250
Ga 0.000 0.000 0.000
Hg 0.500 0.500 0.500
Th 0.750 0.750 0.750

***

[2]
AcTmGaHg | GGA-PBE | optimized geometry

The calculated density is 9.86 g cm⁻³. As for the formation enthalpy at 0 K: -421 meV/atom. The calculation puts the spin magnetization at 0.0 μB/f.u. The density of states at the Fermi level comes out at 4.034 states/eV per cell. The space-group type is F-43m (216). The calculation puts the calculated total energy at -13.6 eV per formula unit.

Cell: 5.414 5.414 5.414 Å, 60.00 60.00 60.00°
Fractional coordinates of all 4 atoms:
Ac 0.500 0.500 0.500
Tm 0.000 0.000 0.000
Hg 0.750 0.750 0.750
Ga 0.250 0.250 0.250

***

[3]
Ac2Zn4Ga3Hg | GGA-PBE | optimized geometry

The calculated density is 8.55 g cm⁻³. As for the formation enthalpy at 0 K: -429 meV/atom. The calculation puts the spin magnetization at 0.0 μB/f.u. The density of states at the Fermi level comes out at 3.587 states/eV per cell. The space-group type is P-4m2 (115). The calculation puts the calculated total energy at -27.0 eV per formula unit.

Cell: 4.501 4.501 10.794 Å, 90.00 90.00 90.00°
Fractional coordinates of all 10 atoms:
Ac 0.500 0.000 0.242
Ac 0.000 0.500 0.758
Zn 0.500 0.500 0.000
Zn 0.000 0.000 0.000
Zn 0.500 0.000 0.639
Zn 0.000 0.500 0.361
Ga 0.000 0.000 0.500
Ga 0.500 0.000 0.874
Ga 0.000 0.500 0.126
Hg 0.500 0.500 0.500

***

[4]
AcZnGa2Hg | GGA-PBE | optimized geometry

The calculated density is 9.23 g cm⁻³. As for the formation enthalpy at 0 K: -436 meV/atom. The calculation puts the spin magnetization at 0.0 μB/f.u. The density of states at the Fermi level comes out at 1.345 states/eV per cell. The space-group type is I-4m2 (119). The calculation puts the calculated total energy at -13.9 eV per formula unit.

Cell: 4.555 4.555 6.358 Å, 110.99 110.99 90.00°
Fractional coordinates of all 5 atoms:
Ac 0.000 0.000 0.000
Zn 0.250 0.750 0.500
Ga 0.616 0.616 0.231
Ga 0.384 0.384 0.769
Hg 0.750 0.250 0.500

***

[5]
Ac2ZnGaHg6 | GGA-PBE | optimized geometry

The calculated density is 11.08 g cm⁻³. As for the formation enthalpy at 0 K: -242 meV/atom. The calculation puts the spin magnetization at 0.0 μB/f.u. The density of states at the Fermi level comes out at 5.625 states/eV per cell. The space-group type is P-1 (2). The calculation puts the calculated total energy at -16.7 eV per formula unit.

Cell: 7.429 7.358 7.421 Å, 46.76 87.46 105.71°
Fractional coordinates of all 10 atoms:
Ac 0.250 0.741 0.491
Ac 0.750 0.259 0.509
Zn 0.500 0.500 0.000
Ga 0.000 0.000 0.000
Hg 0.193 0.686 0.991
Hg 0.582 0.750 0.166
Hg 0.190 0.186 0.497
Hg 0.807 0.314 0.009
Hg 0.418 0.250 0.834
Hg 0.810 0.814 0.503

***

[6]
Ac2Zn3Ga4Hg | GGA-PBE | optimized geometry

The calculated density is 8.54 g cm⁻³. As for the formation enthalpy at 0 K: -451 meV/atom. The calculation puts the spin magnetization at 0.0 μB/f.u. The density of states at the Fermi level comes out at 2.941 states/eV per cell. The space-group type is P-4m2 (115). The calculation puts the calculated total energy at -29.0 eV per formula unit.

Cell: 4.504 4.504 10.823 Å, 90.00 90.00 90.00°
Fractional coordinates of all 10 atoms:
Ac 0.500 0.000 0.243
Ac 0.000 0.500 0.757
Zn 0.000 0.000 0.500
Zn 0.500 0.000 0.875
Zn 0.000 0.500 0.125
Ga 0.500 0.500 0.000
Ga 0.000 0.000 0.000
Ga 0.500 0.000 0.642
Ga 0.000 0.500 0.358
Hg 0.500 0.500 0.500

***

[7]
Ac2Zn3GaHg4 | GGA-PBE | optimized geometry

The calculated density is 10.44 g cm⁻³. As for the formation enthalpy at 0 K: -325 meV/atom. The calculation puts the spin magnetization at 0.0 μB/f.u. The density of states at the Fermi level comes out at 6.546 states/eV per cell. The space-group type is P-4m2 (115). The calculation puts the calculated total energy at -19.5 eV per formula unit.

Cell: 4.741 4.741 10.776 Å, 90.00 90.00 90.00°
Fractional coordinates of all 10 atoms:
Ac 0.500 0.000 0.254
Ac 0.000 0.500 0.746
Zn 0.000 0.000 0.500
Zn 0.500 0.000 0.871
Zn 0.000 0.500 0.129
Ga 0.500 0.500 0.500
Hg 0.500 0.500 0.000
Hg 0.000 0.000 0.000
Hg 0.500 0.000 0.630
Hg 0.000 0.500 0.370

***

[8]
AcHoGa2 | GGA-PBE | optimized geometry

The calculated density is 7.90 g cm⁻³. As for the formation enthalpy at 0 K: -508 meV/atom. The calculation puts the spin magnetization at 0.0 μB/f.u. The density of states at the Fermi level comes out at 14.140 states/eV per cell. The space-group type is Pnma (62). The calculation puts the calculated total energy at -16.8 eV per formula unit.

Cell: 4.334 8.803 11.702 Å, 90.00 90.00 90.00°
Fractional coordinates of all 16 atoms:
Ac 0.750 0.869 0.134
Ac 0.250 0.131 0.866
Ac 0.750 0.369 0.366
Ac 0.250 0.631 0.634
Ho 0.250 0.494 0.115
Ho 0.250 0.994 0.385
Ho 0.750 0.506 0.885
Ho 0.750 0.006 0.615
Ga 0.750 0.839 0.829
Ga 0.250 0.161 0.171
Ga 0.750 0.339 0.671
Ga 0.250 0.661 0.329
Ga 0.750 0.763 0.432
Ga 0.250 0.737 0.932
Ga 0.750 0.263 0.068
Ga 0.250 0.237 0.568

***

[9]
Ac2HoGa | GGA-PBE | optimized geometry

The calculated density is 8.31 g cm⁻³. As for the formation enthalpy at 0 K: -156 meV/atom. The calculation puts the spin magnetization at 0.0 μB/f.u. The density of states at the Fermi level comes out at 5.417 states/eV per cell. The space-group type is P4/mmm (123). The calculation puts the energy relative to the lowest polymorph listed for this composition at 0 kJ/mol of formula units. The calculation puts the calculated total energy at -16.4 eV per formula unit.

Cell: 3.934 3.934 8.898 Å, 90.00 90.00 90.00°
Fractional coordinates of all 4 atoms:
Ac 0.000 0.000 0.788
Ac 0.000 0.000 0.212
Ho 0.500 0.500 0.500
Ga 0.500 0.500 0.000

***

[10]
AcHoGa2 | GGA-PBE | optimized geometry

The calculated density is 8.46 g cm⁻³. As for the formation enthalpy at 0 K: -505 meV/atom. The calculation puts the spin magnetization at 0.0 μB/f.u. The density of states at the Fermi level comes out at 2.787 states/eV per cell. The space-group type is P4/mmm (123). The calculation puts the calculated total energy at -16.8 eV per formula unit.

Cell: 3.748 3.748 7.424 Å, 90.00 90.00 90.00°
Fractional coordinates of all 4 atoms:
Ac 0.500 0.500 0.500
Ho 0.500 0.500 0.000
Ga 0.000 0.000 0.787
Ga 0.000 0.000 0.213

***

[11]
Ac2HoGa2 | GGA-PBE | optimized geometry

The calculated density is 8.12 g cm⁻³. As for the formation enthalpy at 0 K: -426 meV/atom. The calculation puts the spin magnetization at 0.0 μB/f.u. The density of states at the Fermi level comes out at 10.630 states/eV per cell. The space-group type is C2/m (12). The calculation puts the calculated total energy at -21.0 eV per formula unit.

Cell: 4.827 6.772 10.448 Å, 82.47 76.64 69.12°
Fractional coordinates of all 10 atoms:
Ac 0.314 0.271 0.100
Ac 0.481 0.354 0.684
Ac 0.686 0.729 0.900
Ac 0.519 0.646 0.316
Ho 0.783 0.063 0.371
Ho 0.217 0.937 0.629
Ga 0.984 0.136 0.895
Ga 0.125 0.315 0.435
Ga 0.016 0.864 0.105
Ga 0.875 0.685 0.565

***

[12]
AcHoGa4 | GGA-PBE | optimized geometry

The calculated density is 7.92 g cm⁻³. As for the formation enthalpy at 0 K: -629 meV/atom. The calculation puts the spin magnetization at 0.0 μB/f.u. The density of states at the Fermi level comes out at 3.197 states/eV per cell. The space-group type is P6/mmm (191). The calculation puts the energy relative to the lowest polymorph listed for this composition at 0 kJ/mol of formula units. The calculation puts the calculated total energy at -24.6 eV per formula unit.

Cell: 4.294 4.294 8.804 Å, 90.00 90.00 120.00°
Fractional coordinates of all 6 atoms:
Ac 0.000 0.000 0.500
Ho 0.000 0.000 0.000
Ga 0.333 0.667 0.226
Ga 0.333 0.667 0.774
Ga 0.667 0.333 0.226
Ga 0.667 0.333 0.774

***

[13]
AcHoGa4 | GGA-PBE | optimized geometry

The calculated density is 7.85 g cm⁻³. As for the formation enthalpy at 0 K: -587 meV/atom. The calculation puts the spin magnetization at 0.0 μB/f.u. The density of states at the Fermi level comes out at 3.654 states/eV per cell. The space-group type is I-4m2 (119). The calculation puts the energy relative to the lowest polymorph listed for this composition at 24 kJ/mol of formula units. The calculation puts the calculated total energy at -24.3 eV per formula unit.

Cell: 4.344 4.344 8.121 Å, 105.51 105.51 90.00°
Fractional coordinates of all 6 atoms:
Ac 0.250 0.750 0.500
Ho 0.000 0.000 0.000
Ga 0.663 0.163 0.325
Ga 0.580 0.580 0.161
Ga 0.837 0.337 0.675
Ga 0.420 0.420 0.839

***

[14]
AcHoGa2 | GGA-PBE | optimized geometry

The calculated density is 7.63 g cm⁻³. As for the formation enthalpy at 0 K: -299 meV/atom. The calculation puts the spin magnetization at 0.0 μB/f.u. The density of states at the Fermi level comes out at 2.964 states/eV per cell. The space-group type is R-3m (166). The calculation puts the calculated total energy at -15.9 eV per formula unit.

Cell: 3.842 3.842 9.308 Å, 78.09 78.09 60.00°
Fractional coordinates of all 4 atoms:
Ac 0.500 0.500 0.500
Ho 0.000 0.000 0.000
Ga 0.743 0.743 0.771
Ga 0.257 0.257 0.229

***

[15]
AcHo2Ga4 | GGA-PBE | optimized geometry

The calculated density is 7.98 g cm⁻³. As for the formation enthalpy at 0 K: -614 meV/atom. The calculation puts the spin magnetization at 0.0 μB/f.u. The density of states at the Fermi level comes out at 3.838 states/eV per cell. The space-group type is Immm (71). The calculation puts the calculated total energy at -29.7 eV per formula unit.

Cell: 4.227 4.458 9.730 Å, 103.24 102.54 90.00°
Fractional coordinates of all 7 atoms:
Ac 0.500 0.000 0.000
Ho 0.815 0.815 0.629
Ho 0.185 0.185 0.371
Ga 0.652 0.652 0.303
Ga 0.348 0.348 0.697
Ga 0.071 0.571 0.142
Ga 0.929 0.429 0.858

***

[16]
Ac2HoGa | GGA-PBE | optimized geometry

The calculated density is 8.69 g cm⁻³. As for the formation enthalpy at 0 K: -86 meV/atom. The calculation puts the spin magnetization at 0.0 μB/f.u. The density of states at the Fermi level comes out at 6.813 states/eV per cell. The space-group type is P4/mmm (123). The calculation puts the energy relative to the lowest polymorph listed for this composition at 27 kJ/mol of formula units. The calculation puts the calculated total energy at -16.2 eV per formula unit.

Cell: 4.897 5.185 5.185 Å, 90.00 90.00 90.00°
Fractional coordinates of all 4 atoms:
Ac 0.000 0.000 0.500
Ac 0.000 0.500 0.000
Ho 0.500 0.500 0.500
Ga 0.500 0.000 0.000

***

[17]
AcHoGa3 | GGA-PBE | optimized geometry

The calculated density is 7.89 g cm⁻³. As for the formation enthalpy at 0 K: -616 meV/atom. The calculation puts the spin magnetization at 0.0 μB/f.u. The density of states at the Fermi level comes out at 6.173 states/eV per cell. The space-group type is Cmcm (63). The calculation puts the calculated total energy at -20.8 eV per formula unit.

Cell: 4.291 4.516 13.241 Å, 99.82 90.00 90.00°
Fractional coordinates of all 10 atoms:
Ac 0.250 0.076 0.152
Ac 0.750 0.924 0.848
Ho 0.250 0.796 0.592
Ho 0.750 0.204 0.408
Ga 0.250 0.376 0.751
Ga 0.750 0.624 0.249
Ga 0.250 0.475 0.950
Ga 0.750 0.525 0.050
Ga 0.750 0.319 0.638
Ga 0.250 0.681 0.362

***

[18]
AcHoGa4 | GGA-PBE | optimized geometry

The calculated density is 8.46 g cm⁻³. As for the formation enthalpy at 0 K: -446 meV/atom. The calculation puts the spin magnetization at 0.0 μB/f.u. The density of states at the Fermi level comes out at 4.830 states/eV per cell. The space-group type is F-43m (216). The calculation puts the energy relative to the lowest polymorph listed for this composition at 106 kJ/mol of formula units. The calculation puts the calculated total energy at -23.5 eV per formula unit.

Cell: 5.711 5.711 5.711 Å, 60.00 60.00 60.00°
Fractional coordinates of all 6 atoms:
Ac 0.250 0.250 0.250
Ho 0.000 0.000 0.000
Ga 0.625 0.625 0.124
Ga 0.625 0.124 0.625
Ga 0.625 0.625 0.625
Ga 0.124 0.625 0.625

***

[19]
Ac2HoGa | GGA-PBE | optimized geometry

The calculated density is 7.45 g cm⁻³. As for the formation enthalpy at 0 K: 237 meV/atom. The calculation puts the spin magnetization at 0.0 μB/f.u. The density of states at the Fermi level comes out at 4.546 states/eV per cell. The space-group type is R-3m (166). The calculation puts the energy relative to the lowest polymorph listed for this composition at 152 kJ/mol of formula units. The calculation puts the calculated total energy at -14.9 eV per formula unit.

Cell: 3.771 3.771 12.648 Å, 81.43 81.43 60.00°
Fractional coordinates of all 4 atoms:
Ac 0.087 0.087 0.739
Ac 0.913 0.913 0.261
Ho 0.500 0.500 0.500
Ga 0.000 0.000 0.000

***

[20]
AcHoInGa | GGA-PBE | optimized geometry

The calculated density is 8.36 g cm⁻³. As for the formation enthalpy at 0 K: -412 meV/atom. The calculation puts the spin magnetization at 0.0 μB/f.u. The density of states at the Fermi level comes out at 1.557 states/eV per cell. The space-group type is F-43m (216). The calculation puts the calculated total energy at -16.1 eV per formula unit.

Cell: 5.452 5.452 5.452 Å, 60.00 60.00 60.00°
Fractional coordinates of all 4 atoms:
Ac 0.000 0.000 0.000
Ho 0.500 0.500 0.500
Ga 0.250 0.250 0.250
In 0.750 0.750 0.750